Entry 1:
The following is a PBE calculation of a relaxed NdHo7Tm4 crystal, from Alexandria via LeMat-Bulk.

Values from the calculation:
Energy of formation from the pure elements: 0.29 eV per atom
E_tot: -4.2718 eV per atom
ΔE to the lowest computed polymorph: 288 meV/atom

Lattice parameters (Å, degrees): 5.8163 11.4444 6.6610 83.08 64.11 75.28
Last column: nearest neighbours and their distance in Å.
Fractional positions:
Ho1 0.5000 0.0000 0.0000  2 Nd 2.91, 2 Ho 3.13
Ho2 0.2109 0.0777 0.5005  1 Nd 3.11, 4 Ho 3.13-3.38, 4 Tm 3.23-3.36
Ho3 0.9416 0.3299 0.7869  4 Ho 3.26-3.49, 3 Tm 3.54-3.64
Ho4 0.6351 0.4957 0.2341  4 Ho 3.19-3.49, 5 Tm 3.24-3.55
Ho5 0.7891 0.9223 0.4995  1 Nd 3.11, 4 Ho 3.13-3.38, 4 Tm 3.23-3.36
Ho6 0.3649 0.5043 0.7659  4 Ho 3.19-3.49, 5 Tm 3.24-3.55
Ho7 0.0584 0.6701 0.2131  4 Ho 3.26-3.49, 3 Tm 3.54-3.64
Tm1 0.6314 0.2260 0.5111  7 Ho 3.34-3.54, 2 Tm 3.65
Tm2 0.3686 0.7740 0.4889  7 Ho 3.34-3.54, 2 Tm 3.65
Tm3 0.2519 0.3150 0.1812  4 Ho 3.23-3.55
Tm4 0.7481 0.6850 0.8188  4 Ho 3.23-3.55
Nd1 0.0000 0.0000 0.0000  4 Ho 2.91-3.11

***

Entry 2:
The following is a PBE calculation of a relaxed ThFe2B4 crystal, from Alexandria via LeMat-Bulk.

Values from the calculation:
Energy of formation from the pure elements: -0.28 eV per atom
E_tot: -7.5709 eV per atom

Lattice parameters (Å, degrees): 3.0958 3.2378 7.7681 102.03 101.49 90.00
Last column: nearest neighbours and their distance in Å.
Fractional positions:
B1 0.3392 0.3392 0.6784  2 B 1.71
B2 0.1122 0.6122 0.2243  2 B 1.71
B3 0.6608 0.6608 0.3216  2 B 1.71
B4 0.8878 0.3878 0.7757  2 B 1.71
Fe1 0.8023 0.8023 0.6046  7 B 2.06-2.31
Fe2 0.1977 0.1977 0.3954  7 B 2.06-2.31
Th1 0.5000 0.0000 0.0000  12 B 2.79-2.89, 2 Th 3.10

***

Entry 3:
The following is a PBE calculation of a relaxed Al2ZnRu crystal, from Alexandria via LeMat-Bulk.

Values from the calculation:
Energy of formation from the pure elements: 0.18 eV per atom
E_tot: -4.3280 eV per atom

Lattice parameters (Å, degrees): 7.0286 7.0286 5.6316 51.39 51.39 90.00
Last column: nearest neighbours and their distance in Å.
Fractional positions:
Ru1 0.0000 0.0000 0.0000  4 Al 2.47, 2 Zn 2.65
Ru2 0.7500 0.2500 0.5000  4 Al 2.47, 2 Zn 2.65
Zn1 0.5000 0.5000 0.0000  2 Ru 2.65, 4 Al 2.68
Zn2 0.2500 0.7500 0.5000  2 Ru 2.65, 4 Al 2.68
Al1 0.3750 0.3528 0.7500  2 Ru 2.47, 2 Al 2.67, 2 Zn 2.68
Al2 0.1028 0.6250 0.2500  2 Ru 2.47, 2 Al 2.67, 2 Zn 2.68
Al3 0.8750 0.8972 0.7500  2 Ru 2.47, 2 Al 2.67, 2 Zn 2.68
Al4 0.6472 0.1250 0.2500  2 Ru 2.47, 2 Al 2.67, 2 Zn 2.68

***

Entry 4:
The following is a PBE calculation of a relaxed Sr2SiGe6 crystal, from Alexandria via LeMat-Bulk.

Values from the calculation:
E_tot: -4.2888 eV per atom
Formation energy without anion corrections: -0.23 eV per atom

Lattice parameters (Å, degrees): 6.1918 6.1917 11.0683 97.47 97.47 94.96
Last column: nearest neighbours and their distance in Å.
Fractional positions:
Sr1 0.1623 0.6672 0.6635  10 Ge 3.23-3.45, 2 Si 3.42-3.47
Sr2 0.3328 0.8377 0.3365  10 Ge 3.23-3.45, 2 Si 3.42-3.47
Sr3 0.8377 0.3328 0.3365  10 Ge 3.23-3.45, 2 Si 3.42-3.47
Sr4 0.6672 0.1623 0.6635  10 Ge 3.23-3.45, 2 Si 3.42-3.47
Ge1 0.5019 0.9403 0.8883  3 Ge 2.49-2.67, 1 Si 2.73
Ge2 0.8522 0.8522 0.4333  1 Si 2.56, 2 Ge 2.57-2.63
Ge3 0.0597 0.4981 0.1117  3 Ge 2.49-2.67, 1 Si 2.73
Ge4 0.0684 0.0684 0.1118  3 Ge 2.52-2.67, 1 Si 2.58
Ge5 0.9316 0.9316 0.8882  3 Ge 2.52-2.67, 1 Si 2.58
Ge6 0.5100 0.5100 0.8868  3 Ge 2.54-2.67, 1 Si 2.60
Ge7 0.4900 0.4900 0.1132  3 Ge 2.54-2.67, 1 Si 2.60
Ge8 0.6389 0.6389 0.5723  2 Ge 2.56-2.57
Ge9 0.4981 0.0597 0.1117  3 Ge 2.49-2.67, 1 Si 2.73
Ge10 0.3611 0.3611 0.4277  2 Ge 2.56-2.57
Ge11 0.1478 0.1478 0.5667  1 Si 2.56, 2 Ge 2.57-2.63
Ge12 0.9403 0.5019 0.8883  3 Ge 2.49-2.67, 1 Si 2.73
Si1 0.1972 0.1972 0.8026  5 Ge 2.56-2.73
Si2 0.8028 0.8028 0.1974  5 Ge 2.56-2.73

***

| no. | density of states at the Fermi level (states/eV per atom) |
| --- | --- |
| 1 | 1.70 |
| 2 | 0.65 |
| 3 | 0.84 |
| 4 | 0.39 |